Compound: Sm6Dy2Y
Source: Alexandria
Functional: GGA-PBE
Structure: optimized geometry

abc: 3.608 8.829 9.526
angles: 90.10 100.87 90.10
Element x y z (fractional)
Sm 0.110 0.166 0.220
Sm 0.221 0.834 0.443
Sm 0.333 0.500 0.668
Sm 0.667 0.500 0.332
Sm 0.779 0.166 0.557
Sm 0.890 0.834 0.780
Dy 0.445 0.167 0.890
Dy 0.555 0.833 0.110
Y 0.000 0.500 0.000

Calculated values
- DOS at the Fermi energy (states/eV/cell) = 12.94
- energy relative to the lowest polymorph listed for this composition (meV/atom) = 0.0
- theoretical density (Mg/m³) = 7.3
- uncorrected energy (eV per atom) = -4.87
- energy of formation from the pure elements (eV/f.u.) = 0.14